The following is a PBE calculation of a geometry-optimized KMgInP2 structure, from Alexandria via LeMat-Bulk.

Properties
As for the space group: C2/m (12). Its mass density is 2.85 g cm⁻³. For the formation energy from the elements, the calculation gives -0.4600 eV per atom.

Cell: 7.2268 7.2268 9.5517 Å, 98.23 98.23 34.63°
Closest atoms and distances in Å follow each position.
Fractional positions:
K1 0.1557 0.1557 0.1568  3 P 3.24-3.47
K2 0.8443 0.8443 0.8432  3 P 3.24-3.47
Mg1 0.1826 0.1826 0.5691  4 P 2.56-2.59
Mg2 0.8174 0.8174 0.4309  4 P 2.56-2.59
In1 0.4503 0.4503 0.3100  4 P 2.58-2.83
In2 0.5497 0.5497 0.6900  4 P 2.58-2.83
P1 0.1247 0.1247 0.8134  1 Mg 2.58, 2 In 2.59
P2 0.3703 0.3703 0.5665  3 Mg 2.56-2.59, 2 In 2.58-2.83
P3 0.6297 0.6297 0.4335  3 Mg 2.56-2.59, 2 In 2.58-2.83
P4 0.8753 0.8753 0.1866  1 Mg 2.58, 2 In 2.59